Record 1
Here is a relaxed structure of CdTeF from Alexandria. Energies are from PBE.

The structure belongs to space group Pmm2 (No. 25); the cell edges are 3.2996, 5.8918 and 3.4774 Å and the angles 90.00°, 90.00° and 90.00°. The inequivalent atoms are Cd at (0.0000, 0.0000, 0.0000), Te at (0.0000, 0.5000, 0.9893) and F at (0.5000, 0.0000, 0.4986).

As for the energy above the most stable polymorph in this dataset: 82 meV/atom. Its uncorrected formation energy is -1059.3 meV per atom. The total energy is -9.11 eV per cell.



Record 2
Here is a relaxed structure of CdTeF6 from Alexandria. Energies are from PBE.

The structure belongs to space group R-3 (No. 148, hexagonal axes); the cell edges are 5.5737, 5.5737 and 15.4940 Å and the angles 90.00°, 90.00° and 120.00°. The inequivalent atoms are Cd at (0.0000, 0.0000, 0.0000), Te at (0.0000, 0.0000, 0.5000) and F at (0.0137, 0.6320, 0.2458).

As for the energy above the most stable polymorph in this dataset: 0 meV/atom. Its uncorrected formation energy is -2123.2 meV per atom. The total energy is -96.81 eV per cell.



Record 3
Here is a relaxed structure of Cd3TeF from Alexandria. Energies are from PBE.

The structure belongs to space group Pm-3m (No. 221); the cell edges are 4.9431, 4.9431 and 4.9431 Å and the angles 90.00°, 90.00° and 90.00°. The inequivalent atoms are Cd at (0.0000, 0.0000, 0.5000), Te at (0.5000, 0.5000, 0.5000) and F at (0.0000, 0.0000, 0.0000).

As for the energy above the most stable polymorph in this dataset: 0 meV/atom. Its uncorrected formation energy is -384.5 meV per atom. The total energy is -9.68 eV per cell.



Record 4
Here is a relaxed structure of Cd3TeF from Alexandria. Energies are from PBE.

The structure belongs to space group Pm-3m (No. 221); the cell edges are 5.8660, 5.8660 and 5.8660 Å and the angles 90.00°, 90.00° and 90.00°. The inequivalent atoms are Cd at (0.0000, 0.0000, 0.5000), Te at (0.0000, 0.0000, 0.0000) and F at (0.5000, 0.5000, 0.5000).

As for the energy above the most stable polymorph in this dataset: 317 meV/atom. Its uncorrected formation energy is -67.2 meV per atom. The total energy is -8.09 eV per cell.



Copy entry 2 word for word.
Here is a relaxed structure of CdTeF6 from Alexandria. Energies are from PBE.

The structure belongs to space group R-3 (No. 148, hexagonal axes); the cell edges are 5.5737, 5.5737 and 15.4940 Å and the angles 90.00°, 90.00° and 120.00°. The inequivalent atoms are Cd at (0.0000, 0.0000, 0.0000), Te at (0.0000, 0.0000, 0.5000) and F at (0.0137, 0.6320, 0.2458).

As for the energy above the most stable polymorph in this dataset: 0 meV/atom. Its uncorrected formation energy is -2123.2 meV per atom. The total energy is -96.81 eV per cell.